No. 1
VGeSe2I: optimized geometry, PBE.

Values from the calculation:
The calculation puts the formation energy without anion corrections at 0.792 eV per atom. The calculation puts the energy at -3.660 eV per atom.

CIF file:
```
data_VGeSe2I
_chemical_formula_sum 'V1 Ge1 Se2 I1'
_cell_length_a 4.986
_cell_length_b 4.986
_cell_length_c 5.152
_cell_angle_alpha 90.00
_cell_angle_beta 90.00
_cell_angle_gamma 90.00
_symmetry_space_group_name_H-M 'P 4/m m m'
_symmetry_Int_Tables_number 123
_symmetry_space_group_name_Hall '-P 4 2'
loop_
_atom_site_label
_atom_site_type_symbol
_atom_site_fract_x
_atom_site_fract_y
_atom_site_fract_z
_atom_site_occupancy
V1 V 0.000 0.000 0.000 1
Ge1 Ge 0.000 0.000 0.500 1
Se1 Se 0.000 0.500 0.500 1
I1 I 0.500 0.500 0.000 1
```

***

No. 2
GeB3I: optimized geometry, PBE.

Values from the calculation:
Its relative energy among the computed polymorphs is 0.760 eV/atom. The calculation puts the formation energy without anion corrections at 2.608 eV per atom. The calculation puts the energy at -2.632 eV per atom.

CIF file:
```
data_GeB3I
_chemical_formula_sum 'Ge1 B3 I1'
_cell_length_a 4.419
_cell_length_b 4.419
_cell_length_c 4.419
_cell_angle_alpha 90.00
_cell_angle_beta 90.00
_cell_angle_gamma 90.00
_symmetry_space_group_name_H-M 'P m -3 m'
_symmetry_Int_Tables_number 221
_symmetry_space_group_name_Hall '-P 4 2 3'
loop_
_atom_site_label
_atom_site_type_symbol
_atom_site_fract_x
_atom_site_fract_y
_atom_site_fract_z
_atom_site_occupancy
Ge1 Ge 0.000 0.000 0.000 1
B1 B 0.000 0.500 0.500 1
I1 I 0.500 0.500 0.500 1
```

***

No. 3
La2TbSm6Dy3: optimized geometry, PBE.

Values from the calculation:
The calculation puts the energy relative to the elements at 1.92 kJ/mol of atoms. The calculation puts the energy at -4.697 eV per atom.

CIF file:
```
data_La2TbSm6Dy3
_chemical_formula_sum 'La4 Tb2 Sm12 Dy6'
_cell_length_a 6.278
_cell_length_b 10.876
_cell_length_c 12.015
_cell_angle_alpha 90.00
_cell_angle_beta 100.06
_cell_angle_gamma 90.00
_symmetry_space_group_name_H-M 'C 1 2/m 1'
_symmetry_Int_Tables_number 12
loop_
_symmetry_equiv_pos_as_xyz
'x,y,z'
'-x,-y,-z'
'-x,y,-z'
'x,-y,z'
'x+1/2,y+1/2,z'
'-x+1/2,-y+1/2,-z'
'-x+1/2,y+1/2,-z'
'x+1/2,-y+1/2,z'
loop_
_atom_site_label
_atom_site_type_symbol
_atom_site_fract_x
_atom_site_fract_y
_atom_site_fract_z
_atom_site_occupancy
La1 La 0.000 0.167 0.000 1
Tb1 Tb 0.000 0.500 0.000 1
Sm1 Sm 0.247 0.500 0.745 1
Sm2 Sm 0.249 0.166 0.746 1
Dy1 Dy 0.000 0.000 0.500 1
Dy2 Dy 0.000 0.334 0.500 1
```

***

No. 4
Ba8As3Cl4F: optimized geometry, PBE.

Values from the calculation:
The calculation puts the formation energy without anion corrections at -1.800 eV per atom. The calculation puts the energy at -4.212 eV per atom.

CIF file:
```
data_Ba8As3Cl4F
_chemical_formula_sum 'Ba24 As9 Cl12 F3'
_cell_length_a 9.2713
_cell_length_b 9.2713
_cell_length_c 22.7104
_cell_angle_alpha 90.00
_cell_angle_beta 90.00
_cell_angle_gamma 120.00
_symmetry_space_group_name_H-M 'R -3 m'
_symmetry_Int_Tables_number 166
_symmetry_space_group_name_Hall '-R 3 2"'
loop_
_atom_site_label
_atom_site_type_symbol
_atom_site_fract_x
_atom_site_fract_y
_atom_site_fract_z
_atom_site_occupancy
Ba1 Ba 0.0000 0.0000 0.2458 1
Ba2 Ba 0.0003 0.5002 0.2433 1
As1 As 0.0000 0.5000 0.5000 1
Cl1 Cl 0.0000 0.0000 0.0000 1
Cl2 Cl 0.0000 0.5000 0.0000 1
F1 F 0.0000 0.0000 0.5000 1
```

***

No. 5
TiBi2Sb2: optimized geometry, PBE.

Values from the calculation:
Its relative energy among the computed polymorphs is 0.319 eV/atom. The calculation puts the formation energy without anion corrections at 0.447 eV per atom. The calculation puts the energy at -4.333 eV per atom.

CIF file:
```
data_TiBi2Sb2
_chemical_formula_sum 'Ti2 Bi4 Sb4'
_cell_length_a 4.157
_cell_length_b 4.157
_cell_length_c 18.392
_cell_angle_alpha 90.00
_cell_angle_beta 90.00
_cell_angle_gamma 90.00
_symmetry_space_group_name_H-M 'I 4/m m m'
_symmetry_Int_Tables_number 139
_symmetry_space_group_name_Hall '-I 4 2'
loop_
_atom_site_label
_atom_site_type_symbol
_atom_site_fract_x
_atom_site_fract_y
_atom_site_fract_z
_atom_site_occupancy
Ti1 Ti 0.000 0.000 0.000 1
Bi1 Bi 0.000 0.500 0.250 1
Sb1 Sb 0.000 0.000 0.422 1
```

***

No. 6
Tl2ZnNi: optimized geometry, PBE.

Values from the calculation:
The calculation puts the energy relative to the elements at 31.54 kJ/mol of atoms. Its relative energy among the computed polymorphs is 0.194 eV/atom. The calculation puts the energy at -2.620 eV per atom.

CIF file:
```
data_Tl2ZnNi
_chemical_formula_sum 'Tl2 Zn1 Ni1'
_cell_length_a 3.496
_cell_length_b 3.496
_cell_length_c 6.672
_cell_angle_alpha 90.00
_cell_angle_beta 90.00
_cell_angle_gamma 90.00
_symmetry_space_group_name_H-M 'P 4/m m m'
_symmetry_Int_Tables_number 123
_symmetry_space_group_name_Hall '-P 4 2'
loop_
_atom_site_label
_atom_site_type_symbol
_atom_site_fract_x
_atom_site_fract_y
_atom_site_fract_z
_atom_site_occupancy
Tl1 Tl 0.000 0.000 0.231 1
Zn1 Zn 0.500 0.500 0.500 1
Ni1 Ni 0.500 0.500 0.000 1
```

***

No. 7
Li6Pd5: optimized geometry, PBE.

Values from the calculation:
The calculation puts the energy relative to the elements at -35.61 kJ/mol of atoms. The calculation puts the energy at -3.773 eV per atom.

CIF file:
```
data_Li6Pd5
_chemical_formula_sum 'Li12 Pd10'
_cell_length_a 4.264
_cell_length_b 5.947
_cell_length_c 12.545
_cell_angle_alpha 90.00
_cell_angle_beta 90.00
_cell_angle_gamma 90.00
_symmetry_space_group_name_H-M 'I m m m'
_symmetry_Int_Tables_number 71
_symmetry_space_group_name_Hall '-I 2 2'
loop_
_atom_site_label
_atom_site_type_symbol
_atom_site_fract_x
_atom_site_fract_y
_atom_site_fract_z
_atom_site_occupancy
Li1 Li 0.000 0.230 0.000 1
Li2 Li 0.000 0.265 0.343 1
Pd1 Pd 0.000 0.000 0.181 1
Pd2 Pd 0.000 0.000 0.500 1
Pd3 Pd 0.000 0.500 0.161 1
```

***

No. 8
Pa4ZnRh12: optimized geometry, PBE.

Values from the calculation:
The calculation puts the energy relative to the elements at -72.99 kJ/mol of atoms. The calculation puts the energy at -8.255 eV per atom.

CIF file:
```
data_Pa4ZnRh12
_chemical_formula_sum 'Pa8 Zn2 Rh24'
_cell_length_a 8.301
_cell_length_b 8.301
_cell_length_c 8.301
_cell_angle_alpha 90.00
_cell_angle_beta 90.00
_cell_angle_gamma 90.00
_symmetry_space_group_name_H-M 'I m -3 m'
_symmetry_Int_Tables_number 229
_symmetry_space_group_name_Hall '-I 4 2 3'
loop_
_atom_site_label
_atom_site_type_symbol
_atom_site_fract_x
_atom_site_fract_y
_atom_site_fract_z
_atom_site_occupancy
Pa1 Pa 0.250 0.250 0.250 1
Zn1 Zn 0.000 0.000 0.000 1
Rh1 Rh 0.000 0.000 0.286 1
Rh2 Rh 0.000 0.250 0.500 1
```

***

No. 9
ScCd5Hg2: optimized geometry, PBE.

Values from the calculation:
The calculation puts the energy relative to the elements at 0.90 kJ/mol of atoms. Its relative energy among the computed polymorphs is 0.101 eV/atom. The calculation puts the energy at -1.430 eV per atom.

CIF file:
```
data_ScCd5Hg2
_chemical_formula_sum 'Sc4 Cd20 Hg8'
_cell_length_a 3.112
_cell_length_b 21.937
_cell_length_c 11.589
_cell_angle_alpha 90.00
_cell_angle_beta 90.00
_cell_angle_gamma 90.00
_symmetry_space_group_name_H-M 'C m c m'
_symmetry_Int_Tables_number 63
_symmetry_space_group_name_Hall '-C 2c 2'
loop_
_atom_site_label
_atom_site_type_symbol
_atom_site_fract_x
_atom_site_fract_y
_atom_site_fract_z
_atom_site_occupancy
Sc1 Sc 0.000 0.165 0.250 1
Cd1 Cd 0.000 0.044 0.120 1
Cd2 Cd 0.000 0.214 0.750 1
Cd3 Cd 0.000 0.311 0.525 1
Hg1 Hg 0.000 0.091 0.621 1
```

***

No. 10
BeZn2Ag: optimized geometry, PBE.

Values from the calculation:
The calculation puts the energy relative to the elements at 15.72 kJ/mol of atoms. The calculation puts the energy at -2.118 eV per atom.

CIF file:
```
data_BeZn2Ag
_chemical_formula_sum 'Be2 Zn4 Ag2'
_cell_length_a 5.323
_cell_length_b 7.611
_cell_length_c 2.789
_cell_angle_alpha 90.00
_cell_angle_beta 90.00
_cell_angle_gamma 90.00
_symmetry_space_group_name_H-M 'C m m m'
_symmetry_Int_Tables_number 65
_symmetry_space_group_name_Hall '-C 2 2'
loop_
_atom_site_label
_atom_site_type_symbol
_atom_site_fract_x
_atom_site_fract_y
_atom_site_fract_z
_atom_site_occupancy
Be1 Be 0.000 0.000 0.000 1
Zn1 Zn 0.250 0.250 0.500 1
Ag1 Ag 0.000 0.500 0.000 1
```